{"formula": "ZrAl2Tl", "functional": "PBE-GGA", "state": "optimized geometry", "lattice_angstrom": [[-2.6492, 6.5195, -6.9156], [-5.5236, 5.9668, -5.5889], [-3.5475, 8.1447, -4.2927]], "species": ["Al", "Al", "Zr", "Tl"], "fractional_positions": [[0.0038, 0.0038, 0.0038], [0.4962, 0.4962, 0.4962], [0.7500, 0.7500, 0.7500], [0.2500, 0.2500, 0.2500]], "spacegroup": "R-3m, No. 166", "dos_ef_per_ev_cell": 1.68, "formation_enthalpy_0k_mev_per_atom": 13, "final_energy_ev_per_cell": -18.35, "de_polymorph_mev_per_atom": 198}